Computed, not measured: a geometry-optimized Rb2O structure at the PBEsol level of DFT.

Structure (POSCAR):
```
Rb2O
1.0
7.0741 0.0000 0.0000
0.0000 4.5912 0.0000
0.0000 0.0000 8.6285
Rb O
8 4
direct
0.0063 0.2500 0.1556
0.1363 0.2500 0.5889
0.3637 0.7500 0.0889
0.4937 0.7500 0.6556
0.5063 0.2500 0.3444
0.6363 0.2500 0.9111
0.8637 0.7500 0.4111
0.9937 0.7500 0.8444
0.2409 0.2500 0.9068
0.2591 0.7500 0.4068
0.7409 0.2500 0.5932
0.7591 0.7500 0.0932
```

Total magnetization (μB per formula unit): 0.07
ΔE_f (raw) (eV per atom): -0.927
SG: No. 62

***

Computed, not measured: a geometry-optimized Si2MoI structure at the PBEsol level of DFT.

Structure (POSCAR):
```
Si2MoI
1.0
0.0000 3.2369 3.2369
3.2369 0.0000 3.2369
3.2369 3.2369 0.0000
Si Mo I
2 1 1
direct
0.2500 0.2500 0.2500
0.7500 0.7500 0.7500
0.0000 0.0000 0.0000
0.5000 0.5000 0.5000
```

Total magnetization (μB per formula unit): 0.00
ΔE_f (raw) (eV per atom): 1.003
SG: No. 225

***

Computed, not measured: a geometry-optimized Hg2P structure at the PBEsol level of DFT.

Structure (POSCAR):
```
Hg2P
1.0
5.0367 0.0000 0.0000
-2.5184 4.3619 0.0000
0.0000 0.0000 2.8332
Hg P
2 1
direct
0.3333 0.6667 0.0000
0.6667 0.3333 0.0000
0.0000 0.0000 0.0000
```

Total magnetization (μB per formula unit): 0.00
SG: No. 191
E_form (kJ/mol of formula units): 111
Energy relative to the lowest polymorph listed for this composition (meV/atom): 300

***

Computed, not measured: a geometry-optimized SrLi3 structure at the PBEsol level of DFT.

Structure (POSCAR):
```
SrLi3
1.0
3.8974 0.0000 0.0000
0.0000 3.8974 0.0000
0.0000 0.0000 7.4675
Sr Li
1 3
direct
0.0000 0.0000 0.0000
0.0000 0.0000 0.5000
0.5000 0.5000 0.3102
0.5000 0.5000 0.6898
```

Total magnetization (μB per formula unit): 0.00
SG: No. 123
E_form (kJ/mol of formula units): 15